# Sc2PaTc3, relaxed, DFT PBE
# * energy of formation from the pure elements: -0.363 eV/atom
# * final energy: -9.24 eV per atom
# * theoretical density: 9.6 g/cm³
data_Sc2PaTc3
_chemical_formula_sum 'Sc2 Pa1 Tc3'
_space_group_name_H-M_alt 'P -3 m 1'
_space_group_IT_number 164
_space_group_name_Hall '-P 3 2"'
_cell_length_a 4.6484
_cell_length_b 4.6484
_cell_length_c 5.7004
_cell_angle_alpha 90.00
_cell_angle_beta 90.00
_cell_angle_gamma 120.00
loop_
_atom_site_label
_atom_site_type_symbol
_atom_site_fract_x
_atom_site_fract_y
_atom_site_fract_z
Sc1 Sc 0.3333 0.6667 0.1462
Pa1 Pa 0.0000 0.0000 0.5000
Tc1 Tc 0.0000 0.0000 0.0000
Tc2 Tc 0.3333 0.6667 0.6469

---

# ScPa2Tc3, relaxed, DFT PBE
# * energy of formation from the pure elements: -0.280 eV/atom
# * final energy: -9.68 eV per atom
# * theoretical density: 11.4 g/cm³
# * ΔE to the lowest computed polymorph: 0 meV/atom
data_ScPa2Tc3
_chemical_formula_sum 'Sc2 Pa4 Tc6'
_space_group_name_H-M_alt 'P -3 m 1'
_space_group_IT_number 164
_space_group_name_Hall '-P 3 2"'
_cell_length_a 4.7851
_cell_length_b 4.7851
_cell_length_c 11.7222
_cell_angle_alpha 90.00
_cell_angle_beta 90.00
_cell_angle_gamma 120.00
loop_
_atom_site_label
_atom_site_type_symbol
_atom_site_fract_x
_atom_site_fract_y
_atom_site_fract_z
Sc1 Sc 0.3333 0.6667 0.1641
Pa1 Pa 0.0000 0.0000 0.0000
Pa2 Pa 0.0000 0.0000 0.5000
Pa3 Pa 0.3333 0.6667 0.6785
Tc1 Tc 0.0000 0.0000 0.2582
Tc2 Tc 0.3333 0.6667 0.4219
Tc3 Tc 0.3333 0.6667 0.9233

---

# ScPa5Tc6, relaxed, DFT PBE
# * energy of formation from the pure elements: -0.220 eV/atom
# * final energy: -9.89 eV per atom
# * theoretical density: 12.4 g/cm³
data_ScPa5Tc6
_chemical_formula_sum 'Sc2 Pa10 Tc12'
_space_group_name_H-M_alt 'C 1 2/m 1'
_space_group_IT_number 12
_space_group_name_Hall '-C 2y'
_cell_length_a 8.372
_cell_length_b 14.422
_cell_length_c 4.852
_cell_angle_alpha 90.00
_cell_angle_beta 125.17
_cell_angle_gamma 90.00
loop_
_atom_site_label
_atom_site_type_symbol
_atom_site_fract_x
_atom_site_fract_y
_atom_site_fract_z
Sc1 Sc 0.000 0.000 0.000
Pa1 Pa 0.000 0.159 0.500
Pa2 Pa 0.000 0.331 0.000
Pa3 Pa 0.000 0.500 0.500
Tc1 Tc 0.238 0.500 0.241
Tc2 Tc 0.245 0.331 0.746